No. 1
Here is a relaxed LiSbIrRu crystal from Alexandria. Energies are from PBE.

Output
As for the density of states at the Fermi level: 1.6 states/eV/cell. As for the total magnetization: 0.000 μB/f.u. The formation energy (no corrections) comes out at -0.252 eV per atom. The space-group type is F-43m (216).

Lattice parameters (Å, degrees): 4.3710 4.3710 4.3710 60.00 60.00 60.00
Last column: nearest neighbours and their distance in Å.
Atoms (fractional coordinates):
Ru  0.7500  0.7500  0.7500  4 Sb 2.68, 4 Li 2.68
Li  0.5000  0.5000  0.5000  4 Ru 2.68, 4 Ir 2.68
Sb  0.0000  0.0000  0.0000  4 Ir 2.68, 4 Ru 2.68
Ir  0.2500  0.2500  0.2500  4 Li 2.68, 4 Sb 2.68

No. 2
Here is a relaxed CuAg2Pt crystal from Alexandria. Energies are from PBE.

Output
As for the density of states at the Fermi level: 1.4 states/eV/cell. As for the total magnetization: 0.000 μB/f.u. The space-group type is R3m (160). For the energy relative to the lowest polymorph listed for this composition, the calculation gives 17.0 meV/atom. As for the formation energy: -0.003 eV/atom.

Lattice parameters (Å, degrees): 9.3235 9.3235 9.3235 17.41 17.41 17.41
Last column: nearest neighbours and their distance in Å.
Atoms (fractional coordinates):
Ag  0.0013  0.0013  0.0013  9 Ag 2.82-2.96, 3 Pt 2.91
Ag  0.2448  0.2448  0.2448  3 Cu 2.74, 9 Ag 2.82-2.96
Pt  0.7556  0.7556  0.7556  3 Cu 2.65, 6 Pt 2.82, 3 Ag 2.91
Cu  0.4982  0.4982  0.4982  3 Pt 2.65, 3 Ag 2.74, 6 Cu 2.82

No. 3
Here is a relaxed LaCdSbTe2 crystal from Alexandria. Energies are from PBE.

Output
As for the density of states at the Fermi level: 8.2 states/eV/cell. As for the total magnetization: 0.996 μB/f.u. The formation energy (no corrections) comes out at 0.077 eV per atom. The space-group type is P4/mmm (123). For the energy relative to the lowest polymorph listed for this composition, the calculation gives 237.0 meV/atom.

Lattice parameters (Å, degrees): 6.1187 6.1187 6.2836 90.00 90.00 90.00
Last column: nearest neighbours and their distance in Å.
Atoms (fractional coordinates):
Cd  0.5000  0.5000  0.5000  4 Sb 4.33, 8 Te 4.39
Sb  0.0000  0.0000  0.5000  2 La 3.14
La  0.0000  0.0000  0.0000  4 Te 3.06, 2 Sb 3.14
Te  0.5000  0.0000  0.0000  2 La 3.06
Te  0.0000  0.5000  0.0000  2 La 3.06

No. 4
Here is a relaxed GeP2HO crystal from Alexandria. Energies are from PBE.

Output
As for the density of states at the Fermi level: 3.3 states/eV/cell. As for the total magnetization: 0.000 μB/f.u. The space-group type is P4/mmm (123). For the energy relative to the lowest polymorph listed for this composition, the calculation gives 465.7 meV/atom.

Lattice parameters (Å, degrees): 4.8530 4.8530 3.5580 90.00 90.00 90.00
Last column: nearest neighbours and their distance in Å.
Atoms (fractional coordinates):
P  0.0000  0.5000  0.0000  2 Ge 2.43
P  0.5000  0.0000  0.0000  2 Ge 2.43
O  0.0000  0.0000  0.5000  2 Ge 1.78
Ge  0.0000  0.0000  0.0000  2 O 1.78
H  0.5000  0.5000  0.5000  8 P 3.01

No. 5
Here is a relaxed HfRu2O crystal from Alexandria. Energies are from PBE.

Output
As for the density of states at the Fermi level: 8.8 states/eV/cell. As for the total magnetization: 0.000 μB/f.u. The formation energy (no corrections) comes out at -0.346 eV per atom. The space-group type is I-42d (122).

Lattice parameters (Å, degrees): 7.2235 7.2235 5.5653 49.54 49.54 90.00
Last column: nearest neighbours and their distance in Å.
Atoms (fractional coordinates):
O  0.5000  0.5000  0.0000  2 Hf 2.21, 4 Ru 2.21
O  0.2500  0.7500  0.5000  2 Hf 2.21, 4 Ru 2.21
Ru  0.5339  0.1250  0.2500  2 O 2.21
Ru  0.8750  0.7839  0.7500  2 O 2.21
Ru  0.2161  0.6250  0.2500  2 O 2.21
Ru  0.3750  0.4661  0.7500  2 O 2.21
Hf  0.7500  0.2500  0.5000  2 O 2.21
Hf  0.0000  0.0000  0.0000  2 O 2.21

No. 6
Here is a relaxed InTcW2 crystal from Alexandria. Energies are from PBE.

Output
As for the density of states at the Fermi level: 4.2 states/eV/cell. As for the total magnetization: 0.000 μB/f.u. The space-group type is P4/mmm (123). For the energy relative to the lowest polymorph listed for this composition, the calculation gives 195.1 meV/atom. As for the formation energy: 0.484 eV/atom.

Lattice parameters (Å, degrees): 4.2795 3.9458 3.9458 90.00 90.00 90.00
Last column: nearest neighbours and their distance in Å.
Atoms (fractional coordinates):
Tc  0.5000  0.0000  0.5000  4 In 2.79, 8 W 2.91
W  0.0000  0.0000  0.0000  4 W 2.79, 4 In 2.91, 4 Tc 2.91
W  0.0000  0.5000  0.5000  4 W 2.79, 4 In 2.91, 4 Tc 2.91
In  0.5000  0.5000  0.0000  4 Tc 2.79, 8 W 2.91

No. 7
Here is a relaxed ErMgCu crystal from Alexandria. Energies are from PBE.

Output
As for the density of states at the Fermi level: 3.3 states/eV/cell. As for the total magnetization: 0.000 μB/f.u. The space-group type is C2/m (12). As for the formation energy: -0.204 eV/atom.

Lattice parameters (Å, degrees): 3.8595 6.8255 5.4998 75.97 69.46 73.58
Last column: nearest neighbours and their distance in Å.
Atoms (fractional coordinates):
Er  0.4231  0.3424  0.8114  5 Cu 2.90-2.99
Er  0.5769  0.6576  0.1887  5 Cu 2.90-2.99
Mg  0.8258  0.0726  0.2757  3 Cu 2.72-2.93, 2 Mg 3.04
Mg  0.1742  0.9274  0.7243  3 Cu 2.72-2.93, 2 Mg 3.04
Cu  0.8645  0.6644  0.6067  1 Cu 2.57, 2 Mg 2.72
Cu  0.1355  0.3356  0.3933  1 Cu 2.57, 2 Mg 2.72

No. 8
Here is a relaxed NbCuTc crystal from Alexandria. Energies are from PBE.

Output
As for the density of states at the Fermi level: 3.0 states/eV/cell. As for the total magnetization: 0.000 μB/f.u. The space-group type is P3m1 (156). For the energy relative to the lowest polymorph listed for this composition, the calculation gives 51.6 meV/atom. As for the formation energy: 0.064 eV/atom.

Lattice parameters (Å, degrees): 4.4588 4.4588 2.6387 90.00 90.00 120.00
Last column: nearest neighbours and their distance in Å.
Atoms (fractional coordinates):
Nb  0.3333  0.6667  0.7023  2 Nb 2.64, 3 Tc 2.70, 3 Cu 2.74
Cu  0.0000  0.0000  0.0572  2 Cu 2.64, 3 Tc 2.72, 3 Nb 2.74
Tc  0.6667  0.3333  0.3929  2 Tc 2.64, 3 Nb 2.70, 3 Cu 2.72

No. 9
Here is a relaxed SrRe4O12 crystal from Alexandria. Energies are from PBE.

Output
As for the density of states at the Fermi level: 12.1 states/eV/cell. As for the total magnetization: 0.000 μB/f.u. The formation energy (no corrections) comes out at -1.767 eV per atom. The space-group type is Im-3m (229).

Lattice parameters (Å, degrees): 6.6623 6.6623 6.6623 109.47 109.47 109.47
Last column: nearest neighbours and their distance in Å.
Atoms (fractional coordinates):
Re  0.0000  0.0000  0.5000  6 O 1.92
Re  0.0000  0.5000  0.0000  6 O 1.92
Re  0.5000  0.0000  0.0000  6 O 1.92
Re  0.5000  0.5000  0.5000  6 O 1.92
O  0.7520  0.9991  0.2471  2 Re 1.92
O  0.4950  0.2471  0.2480  2 Re 1.92
O  0.7529  0.7520  0.5050  2 Re 1.92
O  0.2471  0.7520  0.9991  2 Re 1.92
O  0.2480  0.0009  0.7529  2 Re 1.92
O  0.0009  0.7529  0.2480  2 Re 1.92
O  0.2471  0.2480  0.4950  2 Re 1.92
O  0.5050  0.7529  0.7520  2 Re 1.92
O  0.2480  0.4950  0.2471  2 Re 1.92
O  0.7529  0.2480  0.0009  2 Re 1.92
O  0.7520  0.5050  0.7529  2 Re 1.92
O  0.9991  0.2471  0.7520  2 Re 1.92
Sr  0.0000  0.0000  0.0000  12 O 2.69

Q: Among the records above, which one has the highest total magnetization?
A: LaCdSbTe2

Q: The highest total magnetization belongs to which entry?
A: LaCdSbTe2